1.
VASP calculation (PBEsol) on a geometry-optimized KYCd2 structure.

```
4
Lattice="-4.032 -0.029 -3.270 -2.633 -3.049 3.273 1.961 4.510 1.663" Properties=species:S:1:pos:R:3 pbc="T T T"
K -3.332 -1.539 0.002
Cd -2.701 1.471 -0.803
Y -2.002 -0.039 2.469
Cd 0.000 0.000 0.000
```

Calculated formation energy ... 0.095 eV/atom
Polymorph energy (0 for the lowest one) ... 197 meV per atom

=====

2.
VASP calculation (PBEsol) on a geometry-optimized Al2PbSe structure.

```
4
Lattice="3.487 0.000 0.000 0.000 4.950 0.199 0.000 -0.193 4.950" Properties=species:S:1:pos:R:3 pbc="T T T"
Al 0.000 -0.097 2.475
Se 1.743 2.378 2.574
Al 0.000 2.475 0.099
Pb 1.743 0.000 0.000
```

Formation energy from raw total energies ... 0.128 eV/atom

=====

3.
VASP calculation (PBEsol) on a geometry-optimized V3O7 structure.

```
60
Lattice="-8.564 3.144 -2.329 -0.860 -7.785 -7.345 -3.362 -1.709 10.054" Properties=species:S:1:pos:R:3 pbc="T T T"
V -7.314 -6.525 -0.731
O -2.139 -3.124 2.358
O -2.390 -3.397 -2.256
O -2.328 -0.531 1.596
O -7.460 -0.325 6.455
O -5.626 -0.104 0.009
V -10.314 -5.038 -1.300
O -3.639 -8.324 0.639
O -8.764 -3.630 -5.101
O -4.819 -6.699 2.429
V -12.089 -3.756 1.532
V -6.429 -5.646 2.625
O -11.167 -0.807 5.753
O -3.777 -1.046 -2.709
O -4.857 -1.617 2.282
V -9.224 -0.819 5.813
V -2.441 -1.954 -1.627
O -5.767 -2.079 5.006
O -3.576 -5.457 4.490
O -8.833 -1.759 4.612
V -5.978 -1.567 6.474
V -8.102 -0.063 -2.720
O -10.753 -4.665 2.614
O -6.451 -5.765 0.753
O -10.817 -3.990 0.171
O -6.171 -0.026 -2.624
O -3.363 -4.903 -5.848
O -5.697 -3.950 -4.707
O -8.078 0.056 -0.848
O -8.531 -1.521 -3.111
V -3.217 -6.580 -5.018
V -4.801 -6.771 0.546
V -11.313 0.870 4.923
O -1.147 -2.154 -0.194
O -3.827 -5.731 -0.123
O -3.713 -1.720 -0.266
O -6.000 -4.188 3.016
O -8.360 -5.685 2.528
O -7.452 0.069 2.003
O -9.675 -4.093 -2.377
O -7.071 -5.385 -6.549
O -5.104 -6.705 -5.469
V -4.216 -0.671 1.206
O -1.312 -6.429 -5.358
O -3.225 -6.551 -3.443
O -8.904 -5.605 -0.104
V -5.306 -4.891 -5.908
O -7.078 -5.779 -2.098
V -9.367 -4.510 1.357
O -6.025 -2.514 -1.562
O -8.696 2.073 0.557
O -8.505 -3.196 1.468
V -8.553 -4.143 -6.569
O -2.740 -2.302 5.678
V -5.163 -1.200 -1.452
V -9.729 1.062 -0.641
O -4.654 -2.425 7.591
O -9.426 0.995 5.374
V -7.216 0.816 0.636
O -5.834 -7.783 -0.651
```

Formation energy from raw total energies ... -2.233 eV/atom
Polymorph energy (0 for the lowest one) ... 101 meV per atom

=====

4.
VASP calculation (PBEsol) on a geometry-optimized ZnSiPb2 structure.

```
4
Lattice="3.340 0.000 0.000 0.000 5.261 0.000 -1.670 -2.631 5.156" Properties=species:S:1:pos:R:3 pbc="T T T"
Pb 0.000 2.631 2.327
Zn 1.670 0.000 2.911
Pb 0.000 0.000 0.242
Si 0.000 0.000 4.832
```

Formation energy from raw total energies ... 0.298 eV/atom
Polymorph energy (0 for the lowest one) ... 0 meV per atom

=====

5.
VASP calculation (PBEsol) on a geometry-optimized Li3InH structure.

```
5
Lattice="4.099 0.000 0.000 0.000 4.099 0.000 0.000 0.000 4.099" Properties=species:S:1:pos:R:3 pbc="T T T"
In 2.050 2.050 2.050
Li 0.000 0.000 2.050
Li 0.000 2.050 0.000
H 0.000 0.000 0.000
Li 2.050 0.000 0.000
```

Total energy ... -2.700 eV/atom

=====

6.
VASP calculation (PBEsol) on a geometry-optimized CaAgW2 structure.

```
4
Lattice="3.494 0.000 0.000 0.000 3.494 0.000 0.000 0.000 6.707" Properties=species:S:1:pos:R:3 pbc="T T T"
W 0.000 0.000 1.163
Ag 1.747 1.747 0.000
W 0.000 0.000 5.544
Ca 1.747 1.747 3.354
```

Calculated formation energy ... 1.163 eV/atom
Polymorph energy (0 for the lowest one) ... 649 meV per atom

=====

7.
VASP calculation (PBEsol) on a geometry-optimized FeAsP structure.

```
3
Lattice="4.072 0.000 0.000 2.036 3.527 0.000 2.036 1.176 3.325" Properties=species:S:1:pos:R:3 pbc="T T T"
As 2.036 1.176 0.831
P 4.072 2.351 1.663
Fe 0.000 0.000 0.000
```

Calculated formation energy ... 0.605 eV/atom

=====

8.
VASP calculation (PBEsol) on a geometry-optimized LaY2Fe structure.

```
4
Lattice="-1.445 2.642 -3.476 -4.324 -0.360 1.524 3.511 2.746 3.670" Properties=species:S:1:pos:R:3 pbc="T T T"
Y 0.000 0.000 0.000
La -1.849 1.764 2.109
Y -0.409 3.264 -0.391
Fe -2.885 1.141 -0.976
```

Calculated formation energy ... 0.396 eV/atom
Polymorph energy (0 for the lowest one) ... 11 meV per atom

=====

9.
VASP calculation (PBEsol) on a geometry-optimized TlHg2Au structure.

```
4
Lattice="-3.402 -0.655 1.352 3.543 -1.295 3.171 -0.753 5.588 0.815" Properties=species:S:1:pos:R:3 pbc="T T T"
Au -0.376 2.794 0.407
Tl -1.701 -0.328 0.676
Hg 0.747 0.754 2.244
Hg -1.358 2.883 3.094
```

Calculated formation energy ... 0.036 eV/atom
Polymorph energy (0 for the lowest one) ... 13 meV per atom

=====

10.
VASP calculation (PBEsol) on a geometry-optimized ZnReRh structure.

```
3
Lattice="2.710 0.000 0.000 -1.355 2.347 0.000 0.000 0.000 6.541" Properties=species:S:1:pos:R:3 pbc="T T T"
Re 0.000 0.000 6.489
Zn 1.355 0.782 2.213
Rh 0.000 1.565 4.379
```

Calculated formation energy ... -0.031 eV/atom
Polymorph energy (0 for the lowest one) ... 0 meV per atom

=====

11.
VASP calculation (PBEsol) on a geometry-optimized CsMgBr2 structure.

```
4
Lattice="5.688 0.000 0.000 2.844 4.926 0.000 2.844 1.642 4.644" Properties=species:S:1:pos:R:3 pbc="T T T"
Mg 0.000 0.000 0.000
Br 8.532 4.926 3.483
Br 2.844 1.642 1.161
Cs 5.688 3.284 2.322
```

Formation energy from raw total energies ... -0.972 eV/atom

=====

12.
VASP calculation (PBEsol) on a geometry-optimized LaIn2Cl5 structure.

```
32
Lattice="7.915 0.000 0.000 0.000 8.798 0.000 0.000 0.000 12.526" Properties=species:S:1:pos:R:3 pbc="T T T"
Cl 6.576 4.010 5.279
Cl 5.296 4.010 11.542
La 3.341 2.199 0.078
Cl 7.384 6.598 12.464
Cl 2.619 4.788 0.984
Cl 6.576 0.389 5.279
Cl 5.296 0.389 11.542
Cl 4.930 2.199 2.356
In 0.399 4.461 10.378
Cl 5.251 6.598 2.657
Cl 2.619 8.409 0.984
La 7.299 6.598 6.185
In 3.558 8.736 4.115
Cl 6.942 2.199 8.619
In 7.516 0.062 2.148
Cl 3.427 2.199 6.325
In 4.356 0.062 8.411
Cl 0.972 6.598 3.907
Cl 2.664 2.199 9.869
In 3.558 4.461 4.115
Cl 2.985 6.598 10.170
Cl 0.530 2.199 0.062
La 0.616 2.199 6.341
Cl 6.622 6.598 8.920
Cl 1.338 4.788 7.247
In 4.356 4.337 8.411
Cl 4.488 6.598 6.201
In 0.399 8.736 10.378
Cl 1.338 8.409 7.247
Cl 1.293 2.199 3.606
La 4.573 6.598 12.448
In 7.516 4.337 2.148
```

Formation energy from raw total energies ... -1.584 eV/atom

=====

13.
VASP calculation (PBEsol) on a geometry-optimized MgBiI2N structure.

```
5
Lattice="-0.665 3.928 1.200 -5.615 -0.118 -2.723 -2.537 -2.054 5.320" Properties=species:S:1:pos:R:3 pbc="T T T"
I -2.807 -0.059 -1.362
N -0.332 1.964 0.600
Mg -4.408 0.878 1.898
I -1.268 -1.027 2.660
Bi 0.000 0.000 0.000
```

Formation energy from raw total energies ... 0.542 eV/atom
Polymorph energy (0 for the lowest one) ... 216 meV per atom

=====

14.
VASP calculation (PBEsol) on a geometry-optimized Y2AsRu structure.

```
4
Lattice="-1.205 2.903 1.596 0.154 -1.648 3.113 6.121 2.096 0.807" Properties=species:S:1:pos:R:3 pbc="T T T"
Y 4.575 1.567 0.603
Y 1.546 0.530 0.204
As -0.525 0.628 2.354
Ru 2.535 1.676 2.758
```

Calculated formation energy ... -0.710 eV/atom

=====

15.
VASP calculation (PBEsol) on a geometry-optimized BaAlAs2 structure.

```
4
Lattice="-0.033 0.825 -4.224 -3.472 -3.147 -0.588 -3.201 3.403 0.690" Properties=species:S:1:pos:R:3 pbc="T T T"
Ba -3.353 0.541 -2.061
As -1.600 1.701 0.345
Al -0.016 0.412 -2.112
As -1.736 -1.573 -0.294
```

Calculated formation energy ... -0.227 eV/atom

=====

16.
VASP calculation (PBEsol) on a geometry-optimized RbSc2PdF structure.

```
5
Lattice="-2.662 -2.717 2.203 2.481 0.485 3.596 -3.239 4.493 1.628" Properties=species:S:1:pos:R:3 pbc="T T T"
Pd -1.619 2.246 0.814
F 0.000 0.000 0.000
Sc 1.241 0.243 1.798
Sc -1.331 -1.359 1.102
Rb -1.710 1.130 3.714
```

Formation energy from raw total energies ... -0.342 eV/atom

=====

17.
VASP calculation (PBEsol) on a geometry-optimized Ba4GaSn3 structure.

```
8
Lattice="-3.518 1.689 2.433 -3.030 -0.300 -4.172 -3.350 -11.698 3.275" Properties=species:S:1:pos:R:3 pbc="T T T"
Ba -4.409 -10.256 0.743
Ga -0.227 -0.792 0.222
Sn -4.707 -4.309 0.531
Ba -3.902 -6.640 3.312
Sn -4.892 -10.094 4.279
Sn -3.429 -6.831 -0.215
Ba -1.200 -4.189 1.173
Ba -3.732 -0.903 -0.422
```

Calculated formation energy ... -0.635 eV/atom

=====

18.
VASP calculation (PBEsol) on a geometry-optimized RhIBrO2 structure.

```
5
Lattice="-0.937 3.731 0.236 -3.676 -0.875 -0.760 -1.289 -0.775 7.125" Properties=species:S:1:pos:R:3 pbc="T T T"
Br -2.950 1.041 3.301
Rh 0.000 0.000 0.000
O -0.468 1.865 0.118
I -0.644 -0.387 3.563
O -1.838 -0.437 -0.380
```

Formation energy from raw total energies ... 0.080 eV/atom

=====

19.
VASP calculation (PBEsol) on a geometry-optimized YTmAl2 structure.

```
4
Lattice="4.997 0.000 0.000 2.499 4.328 0.000 2.499 1.443 4.080" Properties=species:S:1:pos:R:3 pbc="T T T"
Y 0.000 0.000 0.000
Al 2.499 1.443 1.020
Al 7.496 4.328 3.060
Tm 4.997 2.885 2.040
```

Calculated formation energy ... -0.414 eV/atom

=====

20.
VASP calculation (PBEsol) on a geometry-optimized BaTl2Se structure.

```
4
Lattice="-2.183 -2.986 -3.261 4.389 -1.027 -1.997 -0.578 -1.748 5.715" Properties=species:S:1:pos:R:3 pbc="T T T"
Ba 1.103 -2.006 -2.629
Tl 0.000 0.000 0.000
Tl -0.829 -3.370 -0.088
Se 2.457 -2.391 0.544
```

Formation energy from raw total energies ... -0.638 eV/atom

=====

21.
VASP calculation (PBEsol) on a geometry-optimized Sr2Bi3 structure.

```
20
Lattice="-4.297 0.545 -4.945 4.964 -1.201 -4.446 -2.898 -15.131 0.852" Properties=species:S:1:pos:R:3 pbc="T T T"
Sr -0.132 -4.144 -4.184
Bi -3.390 -9.730 -1.802
Sr -0.984 -3.750 -0.085
Sr -2.099 -11.643 -4.355
Bi 1.160 -6.057 -6.737
Sr 0.164 -0.178 -2.347
Bi -2.228 -2.343 -6.367
Sr 1.203 -8.316 -4.145
Bi -0.062 -10.367 -1.781
Sr -6.211 -10.837 -4.008
Bi -1.146 -9.088 -6.559
Bi 0.393 -13.709 -5.527
Bi 2.451 -1.794 -4.512
Bi -1.085 -6.699 -1.980
Bi -4.682 -13.993 -4.026
Sr -2.394 -15.609 -6.192
Bi -0.002 -13.444 -2.172
Sr -3.433 -7.472 -4.393
Bi -2.623 -2.078 -3.012
Bi -2.169 -5.421 -6.758
```

Calculated formation energy ... -0.735 eV/atom

=====

22.
VASP calculation (PBEsol) on a geometry-optimized FeRhSe2 structure.

```
4
Lattice="-0.747 -0.648 -2.946 2.224 -0.737 -2.041 -0.290 -7.906 0.174" Properties=species:S:1:pos:R:3 pbc="T T T"
Rh 0.000 0.000 0.000
Se 1.240 -3.641 -4.430
Fe 0.593 -4.646 -2.406
Se -0.053 -5.651 -0.382
```

Formation energy from raw total energies ... 0.017 eV/atom

=====

23.
VASP calculation (PBEsol) on a geometry-optimized Al2RhAu structure.

```
4
Lattice="-0.031 3.068 -0.773 0.207 -1.038 -4.125 -4.379 -1.303 1.480" Properties=species:S:1:pos:R:3 pbc="T T T"
Rh -2.118 -0.731 -2.816
Al -4.146 0.788 -3.182
Au -4.265 -0.231 -0.747
Al -2.168 1.342 -1.063
```

Calculated formation energy ... -0.687 eV/atom
Polymorph energy (0 for the lowest one) ... 12 meV per atom

=====

24.
VASP calculation (PBEsol) on a geometry-optimized Sr3BRh structure.

```
5
Lattice="-0.888 -1.924 5.128 5.467 -0.631 0.710 0.337 5.166 1.997" Properties=species:S:1:pos:R:3 pbc="T T T"
Sr 2.733 -0.315 0.355
Sr 0.168 2.583 0.998
B 2.458 1.305 3.918
Sr -0.444 -0.962 2.564
Rh 0.000 0.000 0.000
```

Calculated formation energy ... 0.760 eV/atom